The following is a DFT calculation (PBE) of a relaxed BaB2H6 crystal.

Unit cell a=4.899 b=4.899 c=5.797 alpha=65.00 beta=65.00 gamma=60.00
Fractional coordinates of all 9 atoms:
Ba  0.337  0.337  0.990
B  0.725  0.725  0.824
B  0.606  0.606  0.181
H  0.892  0.491  0.725
H  0.892  0.892  0.725
H  0.491  0.892  0.725
H  0.306  0.708  0.278
H  0.708  0.306  0.278
H  0.708  0.708  0.278

Results
* distance to the lowest polymorph of the same formula: 0.000 eV per formula unit

The following is a DFT calculation (PBE) of a relaxed AgMo2AsOs crystal.

Unit cell a=4.882 b=4.631 c=4.882 alpha=90.00 beta=90.00 gamma=90.00
Site moments in Bohr magnetons follow the coordinates.
Fractional coordinates of all 5 atoms:
Mo  0.000  0.000  0.500  1.25
Mo  0.500  0.000  0.000  1.56
Os  0.000  0.000  0.000  -0.14
As  0.000  0.500  0.000  -0.03
Ag  0.500  0.500  0.500  0.02

Results
* energy relative to the elements: 1.459 eV per atom

The following is a DFT calculation (PBE) of a relaxed ZrNbB2W crystal.

Unit cell a=4.219 b=4.967 c=4.219 alpha=90.00 beta=90.00 gamma=90.00
Fractional coordinates of all 5 atoms:
Nb  0.000  0.500  0.000
B  0.000  0.000  0.500
B  0.500  0.000  0.000
Zr  0.000  0.000  0.000
W  0.500  0.500  0.500

Results
* energy relative to the elements: 2.244 eV per atom

The following is a DFT calculation (PBE) of a relaxed Tc2HPt2 crystal.

Unit cell a=3.720 b=3.720 c=6.483 alpha=73.33 beta=73.33 gamma=90.00
Fractional coordinates of all 5 atoms:
H  0.000  0.000  0.000
Tc  0.409  0.409  0.181
Tc  0.591  0.591  0.819
Pt  0.750  0.250  0.500
Pt  0.250  0.750  0.500

Results
* distance to the lowest polymorph of the same formula: 0.596 eV per formula unit

The following is a DFT calculation (PBE) of a relaxed Re2RuSe crystal.

Unit cell a=4.978 b=4.978 c=4.978 alpha=134.98 beta=134.98 gamma=65.56
Fractional coordinates of all 4 atoms:
Re  0.000  0.000  0.000
Re  0.500  0.500  0.000
Ru  0.250  0.750  0.500
Se  0.750  0.250  0.500

Results
* distance to the lowest polymorph of the same formula: 1.949 eV per formula unit

The following is a DFT calculation (PBE) of a relaxed MoHS2 crystal.

Unit cell a=6.585 b=6.585 c=6.585 alpha=29.15 beta=29.15 gamma=29.15
Fractional coordinates of all 4 atoms:
H  0.000  0.000  0.000
Mo  0.500  0.500  0.500
S  0.913  0.913  0.913
S  0.087  0.087  0.087

Results
* distance to the lowest polymorph of the same formula: 0.858 eV per formula unit

The following is a DFT calculation (PBE) of a relaxed RbAgHgCl4 crystal.

Unit cell a=6.672 b=7.588 c=8.860 alpha=90.00 beta=99.89 gamma=90.00
Fractional coordinates of all 14 atoms:
Rb  0.791  0.750  0.960
Rb  0.209  0.250  0.040
Ag  0.901  0.750  0.505
Ag  0.099  0.250  0.495
Hg  0.288  0.750  0.328
Hg  0.712  0.250  0.672
Cl  0.017  0.490  0.711
Cl  0.983  0.990  0.289
Cl  0.983  0.510  0.289
Cl  0.017  0.010  0.711
Cl  0.331  0.750  0.056
Cl  0.669  0.250  0.944
Cl  0.521  0.750  0.570
Cl  0.479  0.250  0.430

Results
* VASP energy: -2.578 eV/atom

The following is a DFT calculation (PBE) of a relaxed CdSi2Os crystal.

Unit cell a=8.441 b=8.441 c=8.441 alpha=20.46 beta=20.46 gamma=20.46
Fractional coordinates of all 4 atoms:
Cd  0.500  0.500  0.500
Os  0.737  0.737  0.737
Si  0.002  0.002  0.002
Si  0.262  0.262  0.262

Results
* VASP energy: -5.438 eV/atom